No. 1
VASP calculation (PBE) on a relaxed structure of Zn2SiIrI.

```
Zn2SiIrI
1.0
5.0028 0.0000 0.0000
0.0000 5.0028 0.0000
0.0000 0.0000 5.3303
Zn Si Ir I
2 1 1 1
Cartesian
0.0000 2.5014 0.0000
2.5014 0.0000 0.0000
0.0000 0.0000 2.6651
2.5014 2.5014 2.6651
0.0000 0.0000 0.0000
```

Properties
Energy relative to the elements, uncorrected, eV/atom: 1.87
Space group: No. 123
Theoretical density, g/cm3: 5.95

***

No. 2
VASP calculation (PBE) on a relaxed structure of Rb2ErPtO4.

```
Rb2ErPtO4
1.0
0.0000 7.1686 11.7133
3.0532 0.0000 11.7133
3.0532 7.1686 0.0000
Rb Er Pt O
4 2 2 8
Cartesian
2.2899 5.3765 1.5076
3.8165 8.9608 7.3642
2.2899 5.3765 16.0624
3.8165 8.9608 21.9190
0.7633 1.7922 2.9283
5.3431 12.5451 20.4983
2.2899 5.3765 8.7850
3.8165 8.9608 14.6416
3.7311 3.9708 8.7252
3.7311 6.7822 8.8447
5.2577 7.5551 14.7014
5.2577 10.3665 14.5819
0.8487 3.9708 8.8447
0.8487 6.7822 8.7252
2.3753 7.5551 14.5819
2.3753 10.3665 14.7014
```

Properties
Energy relative to the elements, uncorrected, eV/atom: -1.43
Space group: No. 70
Theoretical density, g/cm3: 3.87

***

No. 3
VASP calculation (PBE) on a relaxed structure of TaNb3Cl.

```
TaNb3Cl
1.0
4.9893 0.0000 0.0000
0.0000 4.9893 0.0000
0.0000 0.0000 4.9893
Ta Nb Cl
1 3 1
Cartesian
0.0000 0.0000 0.0000
0.0000 0.0000 2.4946
0.0000 2.4946 0.0000
2.4946 0.0000 0.0000
2.4946 2.4946 2.4946
```

Properties
Energy relative to the elements, uncorrected, eV/atom: 1.61
Space group: No. 221
Energy above the most stable polymorph in this dataset, eV/atom: 0.9453
Theoretical density, g/cm3: 6.62

***

No. 4
VASP calculation (PBE) on a relaxed structure of BaMn2CuPd.

```
BaMn2CuPd
1.0
5.4427 0.0000 0.0000
0.0000 5.4427 0.0000
0.0000 0.0000 5.2431
Ba Mn Cu Pd
1 2 1 1
Cartesian
0.0000 0.0000 0.0000
0.0000 2.7214 0.0000
2.7214 0.0000 0.0000
2.7214 2.7214 2.6216
0.0000 0.0000 2.6216
```

Properties
Space group: No. 123
E_form, eV/atom: 1.966
Theoretical density, g/cm3: 4.46

***

No. 5
VASP calculation (PBE) on a relaxed structure of Cs2SnHgPt.

```
Cs2SnHgPt
1.0
6.8725 0.0000 0.0000
0.0000 6.8725 0.0000
0.0000 0.0000 5.0901
Cs Sn Hg Pt
2 1 1 1
Cartesian
0.0000 3.4362 0.0000
3.4362 0.0000 0.0000
0.0000 0.0000 2.5450
3.4362 3.4362 2.5450
0.0000 0.0000 0.0000
```

Properties
Space group: No. 123
E_form, eV/atom: -0.184
Theoretical density, g/cm3: 5.39

***

No. 6
VASP calculation (PBE) on a relaxed structure of AcSi3PtRh.

```
AcSi3PtRh
1.0
3.1441 -6.6246 0.0000
3.1441 6.6246 0.0000
0.0000 0.0000 6.0655
Ac Si Pt Rh
2 6 2 2
Cartesian
3.1441 3.7010 4.5491
3.1441 -3.7010 1.5164
3.1441 3.5083 1.5164
1.7820 0.0000 0.0000
1.7820 0.0000 3.0327
4.5061 0.0000 0.0000
4.5061 0.0000 3.0327
3.1441 -3.5083 4.5491
3.1441 5.7879 1.5164
3.1441 -5.7879 4.5491
3.1441 1.2745 1.5164
3.1441 -1.2745 4.5491
```

Properties
Energy relative to the elements, uncorrected, eV/atom: -0.64
Space group: No. 63
Theoretical density, g/cm3: 8.01

***

No. 7
VASP calculation (PBE) on a relaxed structure of Pa8Ge2C3.

```
Pa8Ge2C3
1.0
7.4389 -3.3023 0.0000
7.4389 3.3023 0.0000
-1.1122 0.0000 5.8136
Pa Ge C
8 2 3
Cartesian
0.5500 0.0000 5.3224
5.3698 1.7783 3.5633
8.3957 1.7783 2.2504
5.7537 0.0000 0.6855
8.0118 0.0000 5.1282
5.3698 -1.7783 3.5633
8.3957 -1.7783 2.2504
13.2156 0.0000 0.4913
3.0649 0.0000 3.8461
10.7006 0.0000 1.9675
7.4389 1.6004 0.0000
6.8828 0.0000 2.9068
7.4389 -1.6004 0.0000
```

Properties
Space group: No. 12
E_form, eV/atom: -0.153
Theoretical density, g/cm3: 11.80

***

No. 8
VASP calculation (PBE) on a relaxed structure of AcNpCo2.

```
AcNpCo2
1.0
2.1104 1.2184 5.6500
-2.1104 1.2184 5.6500
0.0000 -2.4368 5.6500
Ac Np Co
1 1 2
Cartesian
0.0000 0.0000 0.0000
0.0000 0.0000 8.4751
0.0000 0.0000 3.4059
0.0000 0.0000 13.5443
```

Properties
Space group: No. 166
E_form, eV/atom: -0.018
Theoretical density, g/cm3: 11.08

***

No. 9
VASP calculation (PBE) on a relaxed structure of Ce2HoThSb4.

```
Ce2HoThSb4
1.0
7.7413 0.0000 0.0000
0.0000 4.4721 0.0000
-2.5790 0.0000 7.3207
Ce Ho Th Sb
2 1 1 4
Cartesian
0.0000 0.0000 0.0000
3.8707 2.2361 0.0000
-1.2895 2.2361 3.6604
2.5812 0.0000 3.6604
-0.0358 0.0000 5.4511
1.2513 2.2361 1.8444
3.9110 2.2361 5.4763
5.1982 0.0000 1.8696
```

Properties
Energy relative to the elements, uncorrected, eV/atom: -1.04
Space group: No. 10
Theoretical density, g/cm3: 7.63

***

No. 10
VASP calculation (PBE) on a relaxed structure of TcAgP.

```
TcAgP
1.0
0.0000 2.8772 2.8772
2.8772 0.0000 2.8772
2.8772 2.8772 0.0000
Tc Ag P
1 1 1
Cartesian
0.0000 0.0000 0.0000
2.8772 2.8772 2.8772
4.3158 4.3158 4.3158
```

Properties
Space group: No. 216
Energy above the most stable polymorph in this dataset, eV/atom: 0.1086
E_form, eV/atom: 0.155
Theoretical density, g/cm3: 8.26

***

No. 11
VASP calculation (PBE) on a relaxed structure of Er4Mg2Tl.

```
Er4Mg2Tl
1.0
2.5347 1.4634 9.8263
-2.5347 1.4634 9.8263
0.0000 -2.9268 9.8263
Er Mg Tl
4 2 1
Cartesian
0.0000 0.0000 3.6459
0.0000 0.0000 8.8043
0.0000 0.0000 20.6745
0.0000 0.0000 25.8328
0.0000 0.0000 11.9551
0.0000 0.0000 17.5236
0.0000 0.0000 14.7394
```

Properties
Space group: No. 166
Energy above the most stable polymorph in this dataset, eV/atom: 0.1843
E_form, eV/atom: 0.247
Theoretical density, g/cm3: 7.00

***

No. 12
VASP calculation (PBE) on a relaxed structure of NaCd6Rh.

```
NaCd6Rh
1.0
6.2194 0.0000 0.0000
0.0000 6.2194 0.0000
0.0000 0.0000 4.2459
Na Cd Rh
1 6 1
Cartesian
0.0000 0.0000 0.0000
0.0000 3.1097 0.0000
1.6363 1.6363 2.1230
1.6363 4.5831 2.1230
3.1097 0.0000 0.0000
4.5831 1.6363 2.1230
4.5831 4.5831 2.1230
3.1097 3.1097 0.0000
```

Properties
Space group: No. 123
E_form, eV/atom: -0.061
Theoretical density, g/cm3: 8.09

***

No. 13
VASP calculation (PBE) on a relaxed structure of TmMg2Pb5.

```
TmMg2Pb5
1.0
-4.2085 4.2085 6.3011
4.2085 -4.2085 6.3011
4.2085 4.2085 -6.3011
Tm Mg Pb
2 4 10
Cartesian
0.0000 0.0000 3.1506
0.0000 0.0000 9.4517
5.3811 1.1726 0.0000
1.1726 3.0359 0.0000
3.0359 1.1726 6.3011
-1.1726 3.0359 6.3011
0.0000 0.0000 0.0000
5.4757 -1.2672 2.0256
2.9413 -1.2672 4.2755
2.9413 1.2672 2.0256
5.4757 1.2672 4.2755
0.0000 0.0000 6.3011
-1.2672 2.9413 2.0256
1.2672 2.9413 4.2755
1.2672 5.4757 2.0256
-1.2672 5.4757 4.2755
```

Properties
Space group: No. 140
Energy above the most stable polymorph in this dataset, eV/atom: 0.0072
E_form, eV/atom: -0.089
Theoretical density, g/cm3: 9.33

***

No. 14
VASP calculation (PBE) on a relaxed structure of Ga6GePt.

```
Ga6GePt
1.0
3.2741 -3.8848 0.0000
3.2741 3.8848 0.0000
-0.9236 0.0000 6.3045
Ga Ge Pt
6 1 1
Cartesian
1.8975 2.4579 4.2535
3.7272 2.4579 2.0510
1.3964 0.0000 5.4473
4.2282 0.0000 0.8572
1.8975 -2.4579 4.2535
3.7272 -2.4579 2.0510
2.8123 0.0000 3.1523
0.0000 0.0000 0.0000
```

Properties
Space group: No. 12
E_form, eV/atom: -0.076
Theoretical density, g/cm3: 7.10

***

No. 15
VASP calculation (PBE) on a relaxed structure of In2Sn.

```
In2Sn
1.0
0.0000 4.3951 4.3951
4.3951 0.0000 4.3951
4.3951 4.3951 0.0000
In Sn
4 2
Cartesian
0.0000 0.0000 0.0000
2.1975 2.1975 0.0000
2.1975 0.0000 2.1975
0.0000 2.1975 2.1975
3.2963 3.2963 3.2963
5.4938 5.4938 5.4938
```

Properties
Space group: No. 227
Energy above the most stable polymorph in this dataset, eV/atom: 0.1239
E_form, eV/atom: 0.153
Theoretical density, g/cm3: 6.81

***

No. 16
VASP calculation (PBE) on a relaxed structure of Nd6CuTc2Cl3.

```
Nd6CuTc2Cl3
1.0
3.3688 -6.0839 0.0000
3.3688 6.0839 0.0000
-2.3010 0.0000 7.9242
Nd Cu Tc Cl
6 1 2 3
Cartesian
-0.0130 2.0468 6.1360
0.9295 0.0000 1.5176
-0.0130 -2.0468 6.1360
4.4497 2.0468 1.7881
3.5072 0.0000 6.4066
4.4497 -2.0468 1.7881
3.3688 0.0000 0.0000
3.3688 3.8614 0.0000
3.3688 -3.8614 0.0000
-1.1505 0.0000 3.9621
2.2183 2.1336 3.9621
2.2183 -2.1336 3.9621
```

Properties
Energy relative to the elements, uncorrected, eV/atom: -0.68
Space group: No. 12
Theoretical density, g/cm3: 6.29

***

No. 17
VASP calculation (PBE) on a relaxed structure of TlHg2Pb3.

```
TlHg2Pb3
1.0
11.4758 -1.7835 0.0000
11.4758 1.7835 0.0000
-3.3272 0.0000 8.7129
Tl Hg Pb
2 4 6
Cartesian
3.0655 0.0000 3.0337
16.5590 0.0000 5.6792
2.2933 0.0000 6.2117
7.0579 0.0000 7.6226
12.5666 0.0000 1.0903
17.3311 0.0000 2.5012
-1.6876 0.0000 6.7392
7.4522 0.0000 0.1900
8.0048 0.0000 4.2793
11.6197 0.0000 4.4336
12.1723 0.0000 8.5230
21.3120 0.0000 1.9737
```

Properties
Space group: No. 12
E_form, eV/atom: 0.013
Theoretical density, g/cm3: 11.43

***

No. 18
VASP calculation (PBE) on a relaxed structure of Pa2BeB2Ru5.

```
Pa2BeB2Ru5
1.0
9.4112 0.0000 0.0000
0.0000 9.4112 0.0000
0.0000 0.0000 3.1823
Pa Be B Ru
4 2 4 10
Cartesian
1.6574 3.0482 0.0000
3.0482 7.7538 0.0000
6.3630 1.6574 0.0000
7.7538 6.3630 0.0000
0.0000 0.0000 0.0000
4.7056 4.7056 0.0000
1.1688 5.8744 0.0000
3.5367 1.1688 0.0000
5.8744 8.2423 0.0000
8.2423 3.5367 0.0000
0.0000 4.7056 1.5911
0.6685 7.4035 1.5911
2.0077 0.6685 1.5911
2.6979 5.3741 1.5911
4.0370 2.6979 1.5911
4.7056 0.0000 1.5911
5.3741 6.7133 1.5911
6.7133 4.0370 1.5911
7.4035 8.7426 1.5911
8.7426 2.0077 1.5911
```

Properties
Space group: No. 127
E_form, eV/atom: -0.525
Theoretical density, g/cm3: 11.76

***

No. 19
VASP calculation (PBE) on a relaxed structure of Na3Sb4Pd8.

```
Na3Sb4Pd8
1.0
0.0000 6.5479 6.5479
6.5479 0.0000 6.5479
6.5479 6.5479 0.0000
Na Sb Pd
6 8 16
Cartesian
6.5479 6.5479 2.9488
6.5479 2.9488 6.5479
10.1470 6.5479 6.5479
2.9488 6.5479 6.5479
6.5479 10.1470 6.5479
6.5479 6.5479 10.1470
0.0000 0.0000 0.0000
3.2740 3.2740 0.0000
3.2740 0.0000 3.2740
6.5479 3.2740 3.2740
0.0000 3.2740 3.2740
3.2740 6.5479 3.2740
3.2740 3.2740 6.5479
6.5479 6.5479 6.5479
8.1094 4.9865 4.9865
2.1781 2.1781 2.1781
4.3699 4.3699 2.1781
4.3699 2.1781 4.3699
4.9865 4.9865 4.9865
8.1094 8.1094 4.9865
8.1094 4.9865 8.1094
10.9178 8.7260 8.7260
2.1781 4.3699 4.3699
4.9865 8.1094 4.9865
4.9865 4.9865 8.1094
8.1094 8.1094 8.1094
8.7260 10.9178 8.7260
8.7260 8.7260 10.9178
10.9178 10.9178 10.9178
4.9865 8.1094 8.1094
```

Properties
Energy relative to the elements, uncorrected, eV/atom: -0.43
Space group: No. 225
Theoretical density, g/cm3: 8.32

***

No. 20
VASP calculation (PBE) on a relaxed structure of ErAlCoRu.

```
ErAlCoRu
1.0
0.0000 3.1442 3.1442
3.1442 0.0000 3.1442
3.1442 3.1442 0.0000
Er Al Co Ru
1 1 1 1
Cartesian
0.0000 0.0000 0.0000
3.1442 3.1442 3.1442
1.5721 1.5721 1.5721
4.7164 4.7164 4.7164
```

Properties
Space group: No. 216
E_form, eV/atom: -0.371
Theoretical density, g/cm3: 9.46